Record 1
Dy2Ag3Hg | PBE-GGA | relaxed

The space group is Fmmm (No. 69) and the conventional cell measures 6.655, 9.674 and 16.798 Å, with angles of 90.00, 90.00 and 90.00 degrees. The distinct sites, in fractional coordinates, are Dy at (0.248, 0.000, 0.000), Dy at (0.250, 0.250, 0.250), Ag at (0.000, 0.000, 0.165), Ag at (0.000, 0.248, 0.082) and Hg at (0.000, 0.000, 0.333).

For the energy above the lowest structure with this stoichiometry, the calculation gives 0.000 eV/atom.

Record 2
Dy7Ag2Hg2 | PBE-GGA | relaxed

The space group is Cmmm (No. 65) and the conventional cell measures 7.507, 10.882 and 7.924 Å, with angles of 90.00, 90.00 and 90.00 degrees. The distinct sites, in fractional coordinates, are Dy at (0.000, 0.000, 0.000), Dy at (0.000, 0.500, 0.272), Dy at (0.250, 0.250, 0.291), Ag at (0.181, 0.000, 0.500) and Hg at (0.000, 0.294, 0.000).

For the calculated total energy, the calculation gives -38.61 eV per formula unit.

Record 3
Dy2Ag3Hg4 | PBE-GGA | relaxed

The space group is Cmce (No. 64) and the conventional cell measures 6.079, 15.643 and 8.725 Å, with angles of 90.00, 90.00 and 90.00 degrees. The distinct sites, in fractional coordinates, are Dy at (0.000, 0.119, 0.069), Ag at (0.000, 0.000, 0.500), Ag at (0.250, 0.222, 0.750), Hg at (0.000, 0.181, 0.467) and Hg at (0.250, 0.038, 0.750).

For the energy above the lowest structure with this stoichiometry, the calculation gives 0.084 eV/atom.

Record 4
DyAg2Hg2 | PBE-GGA | relaxed

The space group is C2/m (No. 12) and the conventional cell measures 5.756, 5.746 and 7.532 Å, with angles of 90.00, 112.34 and 90.00 degrees. The distinct sites, in fractional coordinates, are Dy at (0.000, 0.000, 0.000), Ag at (0.000, 0.250, 0.500) and Hg at (0.106, 0.500, 0.208).

For the energy above the lowest structure with this stoichiometry, the calculation gives 0.092 eV/atom.

Record 5
Dy4AgHg3 | PBE-GGA | relaxed

The space group is C2/m (No. 12) and the conventional cell measures 15.689, 5.230 and 5.230 Å, with angles of 90.00, 109.41 and 90.00 degrees. The distinct sites, in fractional coordinates, are Dy at (0.123, 0.000, 0.123), Dy at (0.123, 0.500, 0.623), Ag at (0.000, 0.000, 0.500), Hg at (0.000, 0.500, 0.000) and Hg at (0.250, 0.000, 0.750).

For the energy above the lowest structure with this stoichiometry, the calculation gives 0.000 eV/atom.

Record 6
DyAg2Hg5 | PBE-GGA | relaxed

The space group is I4/mcm (No. 140) and the conventional cell measures 7.674, 7.674 and 12.797 Å, with angles of 90.00, 90.00 and 90.00 degrees. The distinct sites, in fractional coordinates, are Dy at (0.000, 0.000, 0.250), Ag at (0.139, 0.361, 0.000), Hg at (0.000, 0.000, 0.000) and Hg at (0.152, 0.348, 0.346).

For the calculated total energy, the calculation gives -12.32 eV per formula unit.

Record 7
DyHoAgHg | PBE-GGA | relaxed

The space group is F-43m (No. 216) and the conventional cell measures 7.339, 7.339 and 7.339 Å, with angles of 90.00, 90.00 and 90.00 degrees. The distinct sites, in fractional coordinates, are Dy at (0.000, 0.000, 0.000), Ho at (0.000, 0.000, 0.500), Ag at (0.250, 0.250, 0.750) and Hg at (0.250, 0.250, 0.250).

For the calculated total energy, the calculation gives -13.95 eV per formula unit.

Record 8
Dy2HoAgHg4 | PBE-GGA | relaxed

The space group is R-3m (No. 166, hexagonal axes) and the conventional cell measures 5.1113, 5.1113 and 25.6649 Å, with angles of 90.00, 90.00 and 120.00 degrees. The distinct sites, in fractional coordinates, are Dy at (0.0000, 0.0000, 0.2426), Ho at (0.0000, 0.0000, 0.0000), Ag at (0.0000, 0.0000, 0.5000), Hg at (0.0000, 0.0000, 0.1234) and Hg at (0.0000, 0.0000, 0.3720).

For the calculated total energy, the calculation gives -21.02 eV per formula unit.

Which volume belongs to each record? In order, 22.5; 29.4; 23.0; 23.0; 25.3; 23.6; 24.7; 24.2 Å³ per atom.
Which D(E_F) belongs to each record? In order, 28.2; 25.9; 15.3; 4.4; 12.8; 14.3; 16.1; 18.5 states/eV/cell.